<P>
The following is a PBE calculation of an optimized crystal structure of LiBe6, from Alexandria. Values from VASP.

```
&SYSTEM
  ibrav = 0, nat = 7, ntyp = 2
/
ATOMIC_SPECIES
Li 6.94 Li.upf
Be 9.01 Be.upf
ATOMIC_POSITIONS crystal
Li 0.000 0.000 0.000
Be 0.250 0.500 0.750
Be 0.250 0.750 0.500
Be 0.500 0.250 0.750
Be 0.500 0.750 0.250
Be 0.750 0.250 0.500
Be 0.750 0.500 0.250
CELL_PARAMETERS angstrom
-2.877 2.877 2.877
2.877 -2.877 2.877
2.877 2.877 -2.877
```



<Q>
The following is a PBE calculation of an optimized crystal structure of LiBe6, from Alexandria. Values from VASP.

```
&SYSTEM
  ibrav = 0, nat = 28, ntyp = 2
/
ATOMIC_SPECIES
Li 6.94 Li.upf
Be 9.01 Be.upf
ATOMIC_POSITIONS crystal
Li 0.246 0.250 0.070
Li 0.254 0.750 0.570
Li 0.746 0.250 0.430
Li 0.754 0.750 0.930
Be 0.049 0.750 0.096
Be 0.060 0.002 0.309
Be 0.060 0.498 0.309
Be 0.094 0.250 0.513
Be 0.150 0.750 0.857
Be 0.188 0.250 0.743
Be 0.312 0.750 0.243
Be 0.350 0.250 0.357
Be 0.406 0.750 0.013
Be 0.440 0.502 0.809
Be 0.440 0.998 0.809
Be 0.451 0.250 0.596
Be 0.549 0.750 0.404
Be 0.560 0.002 0.191
Be 0.560 0.498 0.191
Be 0.594 0.250 0.987
Be 0.650 0.750 0.643
Be 0.688 0.250 0.757
Be 0.812 0.750 0.257
Be 0.850 0.250 0.143
Be 0.906 0.750 0.487
Be 0.940 0.502 0.691
Be 0.940 0.998 0.691
Be 0.951 0.250 0.904
CELL_PARAMETERS angstrom
6.879 0.000 0.000
0.000 4.169 0.000
0.000 0.000 8.976
```



Which structure wins on stability? <Q> wins.



<P>
The following is a PBE calculation of an optimized crystal structure of LiLu2Be, from Alexandria. Values from VASP.

```
&SYSTEM
  ibrav = 0, nat = 4, ntyp = 3
/
ATOMIC_SPECIES
Li 6.94 Li.upf
Lu 174.97 Lu.upf
Be 9.01 Be.upf
ATOMIC_POSITIONS crystal
Li 0.000 0.000 0.000
Lu 0.250 0.250 0.250
Lu 0.750 0.750 0.750
Be 0.500 0.500 0.500
CELL_PARAMETERS angstrom
0.000 3.451 3.451
3.451 0.000 3.451
3.451 3.451 0.000
```



<Q>
The following is a PBE calculation of an optimized crystal structure of LiLu2Be, from Alexandria. Values from VASP.

```
&SYSTEM
  ibrav = 0, nat = 4, ntyp = 3
/
ATOMIC_SPECIES
Li 6.94 Li.upf
Lu 174.97 Lu.upf
Be 9.01 Be.upf
ATOMIC_POSITIONS crystal
Li 0.000 0.000 0.000
Lu 0.103 0.103 0.103
Lu 0.897 0.897 0.897
Be 0.500 0.500 0.500
CELL_PARAMETERS angstrom
1.674 0.966 10.242
-1.674 0.966 10.242
0.000 -1.933 10.242
```



<R>
The following is a PBE calculation of an optimized crystal structure of LiLu2Be, from Alexandria. Values from VASP.

```
&SYSTEM
  ibrav = 0, nat = 4, ntyp = 3
/
ATOMIC_SPECIES
Li 6.94 Li.upf
Lu 174.97 Lu.upf
Be 9.01 Be.upf
ATOMIC_POSITIONS crystal
Li 0.000 0.000 0.000
Lu 0.500 0.500 0.285
Lu 0.500 0.500 0.715
Be 0.000 0.000 0.500
CELL_PARAMETERS angstrom
3.398 0.000 0.000
0.000 3.398 0.000
0.000 0.000 7.340
```



Which structure wins on stability? <R> wins.



<P>
The following is a PBE calculation of an optimized crystal structure of LiMg3Be, from Alexandria. Values from VASP.

```
&SYSTEM
  ibrav = 0, nat = 5, ntyp = 3
/
ATOMIC_SPECIES
Li 6.94 Li.upf
Mg 24.30 Mg.upf
Be 9.01 Be.upf
ATOMIC_POSITIONS crystal
Li 0.000 0.000 0.000
Mg 0.000 0.500 0.500
Mg 0.500 0.000 0.500
Mg 0.500 0.500 0.000
Be 0.500 0.500 0.500
CELL_PARAMETERS angstrom
4.804 0.000 0.000
0.000 4.804 0.000
0.000 0.000 4.804
```



<Q>
The following is a PBE calculation of an optimized crystal structure of LiMg3Be, from Alexandria. Values from VASP.

```
&SYSTEM
  ibrav = 0, nat = 5, ntyp = 3
/
ATOMIC_SPECIES
Li 6.94 Li.upf
Mg 24.30 Mg.upf
Be 9.01 Be.upf
ATOMIC_POSITIONS crystal
Li 0.000 0.000 0.000
Mg 0.000 0.000 0.500
Mg 0.000 0.500 0.000
Mg 0.500 0.000 0.000
Be 0.500 0.500 0.500
CELL_PARAMETERS angstrom
4.794 0.000 0.000
0.000 4.794 0.000
0.000 0.000 4.794
```



Which structure wins on stability? <P> wins.



<P>
The following is a PBE calculation of an optimized crystal structure of LiMn3Be, from Alexandria. Values from VASP.

```
&SYSTEM
  ibrav = 0, nat = 5, ntyp = 3
/
ATOMIC_SPECIES
Li 6.94 Li.upf
Mn 54.94 Mn.upf
Be 9.01 Be.upf
ATOMIC_POSITIONS crystal
Li 0.000 0.000 0.000
Mn 0.000 0.000 0.500
Mn 0.000 0.500 0.000
Mn 0.500 0.000 0.000
Be 0.500 0.500 0.500
CELL_PARAMETERS angstrom
4.091 0.000 0.000
0.000 4.091 0.000
0.000 0.000 4.091
```



<Q>
The following is a PBE calculation of an optimized crystal structure of LiMn3Be, from Alexandria. Values from VASP.

```
&SYSTEM
  ibrav = 0, nat = 5, ntyp = 3
/
ATOMIC_SPECIES
Li 6.94 Li.upf
Mn 54.94 Mn.upf
Be 9.01 Be.upf
ATOMIC_POSITIONS crystal
Li 0.000 0.000 0.000
Mn 0.000 0.500 0.500
Mn 0.500 0.000 0.500
Mn 0.500 0.500 0.000
Be 0.500 0.500 0.500
CELL_PARAMETERS angstrom
4.208 0.000 0.000
0.000 4.208 0.000
0.000 0.000 4.208
```



Which structure wins on stability? <Q> wins.



<P>
The following is a PBE calculation of an optimized crystal structure of Li3MnBe, from Alexandria. Values from VASP.

```
&SYSTEM
  ibrav = 0, nat = 5, ntyp = 3
/
ATOMIC_SPECIES
Li 6.94 Li.upf
Mn 54.94 Mn.upf
Be 9.01 Be.upf
ATOMIC_POSITIONS crystal
Li 0.000 0.000 0.500
Li 0.000 0.500 0.000
Li 0.500 0.000 0.000
Mn 0.500 0.500 0.500
Be 0.000 0.000 0.000
CELL_PARAMETERS angstrom
4.153 0.000 0.000
0.000 4.153 0.000
0.000 0.000 4.153
```



<Q>
The following is a PBE calculation of an optimized crystal structure of Li3MnBe, from Alexandria. Values from VASP.

```
&SYSTEM
  ibrav = 0, nat = 5, ntyp = 3
/
ATOMIC_SPECIES
Li 6.94 Li.upf
Mn 54.94 Mn.upf
Be 9.01 Be.upf
ATOMIC_POSITIONS crystal
Li 0.000 0.000 0.500
Li 0.000 0.500 0.000
Li 0.500 0.000 0.000
Mn 0.000 0.000 0.000
Be 0.500 0.500 0.500
CELL_PARAMETERS angstrom
4.555 0.000 0.000
0.000 4.555 0.000
0.000 0.000 4.555
```



Which structure wins on stability? <P> wins.



<P>
The following is a PBE calculation of an optimized crystal structure of LiBe2Mo, from Alexandria. Values from VASP.

```
&SYSTEM
  ibrav = 0, nat = 4, ntyp = 3
/
ATOMIC_SPECIES
Li 6.94 Li.upf
Be 9.01 Be.upf
Mo 95.94 Mo.upf
ATOMIC_POSITIONS crystal
Li 0.000 0.000 0.000
Be 0.000 0.000 0.584
Be 0.500 0.500 0.749
Mo 0.500 0.500 0.328
CELL_PARAMETERS angstrom
2.623 0.000 0.000
0.000 2.623 0.000
0.000 0.000 6.731
```



<Q>
The following is a PBE calculation of an optimized crystal structure of LiBe2Mo, from Alexandria. Values from VASP.

```
&SYSTEM
  ibrav = 0, nat = 4, ntyp = 3
/
ATOMIC_SPECIES
Li 6.94 Li.upf
Be 9.01 Be.upf
Mo 95.94 Mo.upf
ATOMIC_POSITIONS crystal
Li 0.000 0.000 0.000
Be 0.000 0.500 0.500
Be 0.500 0.000 0.500
Mo 0.500 0.500 0.000
CELL_PARAMETERS angstrom
4.376 0.000 0.000
0.000 4.376 0.000
0.000 0.000 2.477
```



<R>
The following is a PBE calculation of an optimized crystal structure of LiBe2Mo, from Alexandria. Values from VASP.

```
&SYSTEM
  ibrav = 0, nat = 8, ntyp = 3
/
ATOMIC_SPECIES
Li 6.94 Li.upf
Be 9.01 Be.upf
Mo 95.94 Mo.upf
ATOMIC_POSITIONS crystal
Li 0.000 0.000 0.000
Li 0.750 0.250 0.500
Be 0.104 0.625 0.979
Be 0.375 0.354 0.479
Be 0.646 0.125 0.021
Be 0.875 0.896 0.521
Mo 0.250 0.750 0.500
Mo 0.500 0.500 0.000
CELL_PARAMETERS angstrom
-3.074 3.074 2.441
3.074 -3.074 2.441
3.074 3.074 -2.441
```



Which structure wins on stability? <Q> wins.



<P>
The following is a PBE calculation of an optimized crystal structure of LiBe3Mo, from Alexandria. Values from VASP.

```
&SYSTEM
  ibrav = 0, nat = 5, ntyp = 3
/
ATOMIC_SPECIES
Li 6.94 Li.upf
Be 9.01 Be.upf
Mo 95.94 Mo.upf
ATOMIC_POSITIONS crystal
Li 0.000 0.000 0.000
Be 0.000 0.000 0.500
Be 0.000 0.500 0.000
Be 0.500 0.000 0.000
Mo 0.500 0.500 0.500
CELL_PARAMETERS angstrom
3.691 0.000 0.000
0.000 3.691 0.000
0.000 0.000 3.691
```



<Q>
The following is a PBE calculation of an optimized crystal structure of LiBe3Mo, from Alexandria. Values from VASP.

```
&SYSTEM
  ibrav = 0, nat = 5, ntyp = 3
/
ATOMIC_SPECIES
Li 6.94 Li.upf
Be 9.01 Be.upf
Mo 95.94 Mo.upf
ATOMIC_POSITIONS crystal
Li 0.000 0.000 0.000
Be 0.000 0.500 0.500
Be 0.500 0.000 0.500
Be 0.500 0.500 0.000
Mo 0.500 0.500 0.500
CELL_PARAMETERS angstrom
4.392 0.000 0.000
0.000 4.392 0.000
0.000 0.000 4.392
```



Which structure wins on stability? <P> wins.



<P>
The following is a PBE calculation of an optimized crystal structure of LiBe3N, from Alexandria. Values from VASP.

```
&SYSTEM
  ibrav = 0, nat = 5, ntyp = 3
/
ATOMIC_SPECIES
Li 6.94 Li.upf
Be 9.01 Be.upf
N 14.01 N.upf
ATOMIC_POSITIONS crystal
Li 0.000 0.000 0.000
Be 0.000 0.000 0.500
Be 0.000 0.500 0.000
Be 0.500 0.000 0.000
N 0.500 0.500 0.500
CELL_PARAMETERS angstrom
3.813 0.000 0.000
0.000 3.813 0.000
0.000 0.000 3.813
```



<Q>
The following is a PBE calculation of an optimized crystal structure of LiBe3N, from Alexandria. Values from VASP.

```
&SYSTEM
  ibrav = 0, nat = 5, ntyp = 3
/
ATOMIC_SPECIES
Li 6.94 Li.upf
Be 9.01 Be.upf
N 14.01 N.upf
ATOMIC_POSITIONS crystal
Li 0.000 0.000 0.000
Be 0.000 0.500 0.500
Be 0.500 0.000 0.500
Be 0.500 0.500 0.000
N 0.500 0.500 0.500
CELL_PARAMETERS angstrom
3.535 0.000 0.000
0.000 3.535 0.000
0.000 0.000 3.535
```



Which structure wins on stability? <Q> wins.



<P>
The following is a PBE calculation of an optimized crystal structure of Li2Be2N, from Alexandria. Values from VASP.

```
&SYSTEM
  ibrav = 0, nat = 10, ntyp = 3
/
ATOMIC_SPECIES
Li 6.94 Li.upf
Be 9.01 Be.upf
N 14.01 N.upf
ATOMIC_POSITIONS crystal
Li 0.183 0.317 0.000
Li 0.317 0.817 0.000
Li 0.683 0.183 0.000
Li 0.817 0.683 0.000
Be 0.161 0.661 0.500
Be 0.339 0.161 0.500
Be 0.661 0.839 0.500
Be 0.839 0.339 0.500
N 0.000 0.000 0.500
N 0.500 0.500 0.500
CELL_PARAMETERS angstrom
4.732 0.000 0.000
0.000 4.732 0.000
0.000 0.000 4.261
```



<Q>
The following is a PBE calculation of an optimized crystal structure of Li2Be2N, from Alexandria. Values from VASP.

```
&SYSTEM
  ibrav = 0, nat = 5, ntyp = 3
/
ATOMIC_SPECIES
Li 6.94 Li.upf
Be 9.01 Be.upf
N 14.01 N.upf
ATOMIC_POSITIONS crystal
Li 0.250 0.750 0.500
Li 0.750 0.250 0.500
Be 0.079 0.079 0.000
Be 0.921 0.921 0.000
N 0.500 0.500 0.000
CELL_PARAMETERS angstrom
-1.376 1.376 6.366
1.376 -1.376 6.366
1.376 1.376 -6.366
```



Which structure wins on stability? <P> wins.



<P>
The following is a PBE calculation of an optimized crystal structure of LiBeSN2, from Alexandria. Values from VASP.

```
&SYSTEM
  ibrav = 0, nat = 5, ntyp = 4
/
ATOMIC_SPECIES
Li 6.94 Li.upf
Be 9.01 Be.upf
S 32.06 S.upf
N 14.01 N.upf
ATOMIC_POSITIONS crystal
Li 0.000 0.000 0.000
Be 0.500 0.500 0.500
S 0.500 0.500 0.000
N 0.000 0.500 0.500
N 0.500 0.000 0.500
CELL_PARAMETERS angstrom
3.446 0.000 0.000
0.000 3.446 0.000
0.000 0.000 4.585
```



<Q>
The following is a PBE calculation of an optimized crystal structure of LiBeSN2, from Alexandria. Values from VASP.

```
&SYSTEM
  ibrav = 0, nat = 5, ntyp = 4
/
ATOMIC_SPECIES
Li 6.94 Li.upf
Be 9.01 Be.upf
S 32.06 S.upf
N 14.01 N.upf
ATOMIC_POSITIONS crystal
Li 0.000 0.000 0.000
Be 0.500 0.500 0.500
S 0.000 0.000 0.500
N 0.000 0.500 0.000
N 0.500 0.000 0.000
CELL_PARAMETERS angstrom
3.397 0.000 0.000
0.000 3.397 0.000
0.000 0.000 5.516
```



Which structure wins on stability? <P> wins.



<P>
The following is a PBE calculation of an optimized crystal structure of LiBeSe2N, from Alexandria. Values from VASP.

```
&SYSTEM
  ibrav = 0, nat = 5, ntyp = 4
/
ATOMIC_SPECIES
Li 6.94 Li.upf
Be 9.01 Be.upf
Se 78.96 Se.upf
N 14.01 N.upf
ATOMIC_POSITIONS crystal
Li 0.000 0.000 0.000
Be 0.500 0.500 0.500
Se 0.000 0.500 0.000
Se 0.500 0.000 0.000
N 0.000 0.000 0.500
CELL_PARAMETERS angstrom
4.669 0.000 0.000
0.000 4.669 0.000
0.000 0.000 3.464
```



<Q>
The following is a PBE calculation of an optimized crystal structure of LiBeSe2N, from Alexandria. Values from VASP.

```
&SYSTEM
  ibrav = 0, nat = 5, ntyp = 4
/
ATOMIC_SPECIES
Li 6.94 Li.upf
Be 9.01 Be.upf
Se 78.96 Se.upf
N 14.01 N.upf
ATOMIC_POSITIONS crystal
Li 0.000 0.000 0.000
Be 0.000 0.000 0.500
Se 0.000 0.500 0.500
Se 0.500 0.000 0.500
N 0.500 0.500 0.000
CELL_PARAMETERS angstrom
4.398 0.000 0.000
0.000 4.398 0.000
0.000 0.000 5.371
```



<R>
The following is a PBE calculation of an optimized crystal structure of LiBeSe2N, from Alexandria. Values from VASP.

```
&SYSTEM
  ibrav = 0, nat = 5, ntyp = 4
/
ATOMIC_SPECIES
Li 6.94 Li.upf
Be 9.01 Be.upf
Se 78.96 Se.upf
N 14.01 N.upf
ATOMIC_POSITIONS crystal
Li 0.000 0.000 0.000
Be 0.500 0.500 0.500
Se 0.000 0.500 0.500
Se 0.500 0.000 0.500
N 0.500 0.500 0.000
CELL_PARAMETERS angstrom
5.213 0.000 0.000
0.000 5.213 0.000
0.000 0.000 2.985
```



Which structure wins on stability? <R> wins.



<P>
The following is a PBE calculation of an optimized crystal structure of NaLiBe2, from Alexandria. Values from VASP.

```
&SYSTEM
  ibrav = 0, nat = 4, ntyp = 3
/
ATOMIC_SPECIES
Na 22.99 Na.upf
Li 6.94 Li.upf
Be 9.01 Be.upf
ATOMIC_POSITIONS crystal
Na 0.000 0.000 0.000
Li 0.500 0.500 0.500
Be 0.250 0.250 0.250
Be 0.750 0.750 0.750
CELL_PARAMETERS angstrom
0.000 3.126 3.126
3.126 0.000 3.126
3.126 3.126 0.000
```



<Q>
The following is a PBE calculation of an optimized crystal structure of NaLiBe2, from Alexandria. Values from VASP.

```
&SYSTEM
  ibrav = 0, nat = 8, ntyp = 3
/
ATOMIC_SPECIES
Na 22.99 Na.upf
Li 6.94 Li.upf
Be 9.01 Be.upf
ATOMIC_POSITIONS crystal
Na 0.375 0.625 0.750
Na 0.625 0.375 0.250
Li 0.125 0.875 0.250
Li 0.875 0.125 0.750
Be 0.000 0.000 0.000
Be 0.000 0.000 0.500
Be 0.000 0.500 0.000
Be 0.500 0.000 0.500
CELL_PARAMETERS angstrom
-2.104 2.104 8.915
2.104 -2.104 8.915
2.104 2.104 -8.915
```



Which structure wins on stability? <Q> wins.